Record 1
# Ac4Tl3Ge, optimized geometry, DFT PBE-GGA
data_Ac4Tl3Ge
_chemical_formula_sum 'Ac4 Tl3 Ge1'
_space_group_name_H-M_alt 'P 1'
_space_group_IT_number 1
_space_group_name_Hall 'P 1'
_cell_length_a 4.943
_cell_length_b 4.608
_cell_length_c 12.394
_cell_angle_alpha 90.00
_cell_angle_beta 90.00
_cell_angle_gamma 90.00
loop_
_atom_site_label
_atom_site_fract_x
_atom_site_fract_y
_atom_site_fract_z
Ac1 0.000 0.000 0.135
Ac2 0.500 0.000 0.640
Ac3 0.000 0.500 0.867
Ac4 0.500 0.500 0.352
Tl1 0.000 0.000 0.415
Tl2 0.500 0.000 0.926
Tl3 0.000 0.500 0.583
Ge1 0.500 0.500 0.081
# formation enthalpy at 0 K = -0.426 eV per atom
# mass density = 9.4 g cm⁻³
# raw total energy = -31.6 eV/cell

=====

Record 2
# CdAsRu2, optimized geometry, DFT PBE-GGA
data_CdAsRu2
_chemical_formula_sum 'Cd1 As1 Ru2'
_space_group_name_H-M_alt 'P 1'
_space_group_IT_number 1
_space_group_name_Hall 'P 1'
_cell_length_a 5.018
_cell_length_b 5.018
_cell_length_c 5.018
_cell_angle_alpha 134.17
_cell_angle_beta 134.17
_cell_angle_gamma 66.83
loop_
_atom_site_label
_atom_site_fract_x
_atom_site_fract_y
_atom_site_fract_z
Ru1 0.000 0.000 0.000
Ru2 0.250 0.750 0.500
As1 0.500 0.500 0.000
Cd1 0.750 0.250 0.500
# formation enthalpy at 0 K = 0.470 eV per atom
# mass density = 10.1 g cm⁻³
# raw total energy = -22.2 eV/cell

=====

Record 3
# Ni2PBr, optimized geometry, DFT PBE-GGA
data_Ni2PBr
_chemical_formula_sum 'Ni2 P1 Br1'
_space_group_name_H-M_alt 'P 1'
_space_group_IT_number 1
_space_group_name_Hall 'P 1'
_cell_length_a 3.346
_cell_length_b 3.250
_cell_length_c 6.071
_cell_angle_alpha 90.00
_cell_angle_beta 90.00
_cell_angle_gamma 90.00
loop_
_atom_site_label
_atom_site_fract_x
_atom_site_fract_y
_atom_site_fract_z
Ni1 0.500 0.999 0.372
Ni2 0.000 0.000 0.057
P1 0.000 0.500 0.296
Br1 0.500 0.001 0.775
# raw formation energy = -0.17 eV per atom
# mass density = 5.7 g cm⁻³
# raw total energy = -19.3 eV/cell

=====

Record 4
# Dy2CdCo, optimized geometry, DFT PBE-GGA
data_Dy2CdCo
_chemical_formula_sum 'Dy2 Cd1 Co1'
_space_group_name_H-M_alt 'P 1'
_space_group_IT_number 1
_space_group_name_Hall 'P 1'
_cell_length_a 3.429
_cell_length_b 3.429
_cell_length_c 7.626
_cell_angle_alpha 90.00
_cell_angle_beta 90.00
_cell_angle_gamma 90.00
loop_
_atom_site_label
_atom_site_fract_x
_atom_site_fract_y
_atom_site_fract_z
Dy1 0.000 0.000 0.788
Dy2 0.000 0.000 0.212
Cd1 0.500 0.500 0.500
Co1 0.500 0.500 0.000
# formation enthalpy at 0 K = -0.255 eV per atom
# mass density = 9.2 g cm⁻³
# raw total energy = -18.2 eV/cell

=====

Record 5
# Sn3AsSe, optimized geometry, DFT PBE-GGA
data_Sn3AsSe
_chemical_formula_sum 'Sn3 As1 Se1'
_space_group_name_H-M_alt 'P 1'
_space_group_IT_number 1
_space_group_name_Hall 'P 1'
_cell_length_a 5.455
_cell_length_b 5.455
_cell_length_c 5.455
_cell_angle_alpha 90.00
_cell_angle_beta 90.00
_cell_angle_gamma 90.00
loop_
_atom_site_label
_atom_site_fract_x
_atom_site_fract_y
_atom_site_fract_z
Sn1 0.000 0.000 0.500
Sn2 0.500 0.000 0.000
Sn3 0.000 0.500 0.000
Se1 0.500 0.500 0.500
As1 0.000 0.000 0.000
# raw formation energy = 0.45 eV per atom
# mass density = 5.2 g cm⁻³
# raw total energy = -17.9 eV/cell

=====

Record 6
# CaZr2Bi2, optimized geometry, DFT PBE-GGA
data_CaZr2Bi2
_chemical_formula_sum 'Ca1 Zr2 Bi2'
_space_group_name_H-M_alt 'P 1'
_space_group_IT_number 1
_space_group_name_Hall 'P 1'
_cell_length_a 5.698
_cell_length_b 5.698
_cell_length_c 6.163
_cell_angle_alpha 62.46
_cell_angle_beta 62.46
_cell_angle_gamma 90.00
loop_
_atom_site_label
_atom_site_fract_x
_atom_site_fract_y
_atom_site_fract_z
Bi1 0.750 0.250 0.500
Bi2 0.250 0.750 0.500
Zr1 0.347 0.347 0.307
Zr2 0.653 0.653 0.693
Ca1 0.000 0.000 0.000
# formation enthalpy at 0 K = -0.051 eV per atom
# mass density = 7.0 g cm⁻³
# raw total energy = -27.1 eV/cell